No. 1
MnGaSiRhSe | PBE-GGA | optimized geometry

Structure (POSCAR):
```
MnGaSiRhSe
1.0
2.948 0.000 0.000
0.000 3.482 0.000
0.000 0.000 7.426
Mn Ga Si Rh Se
1 1 1 1 1
direct
0.000 0.000 0.000
0.500 0.500 0.137
0.000 0.000 0.343
0.500 0.500 0.490
0.500 0.000 0.756
```

Values from the calculation:
- ΔE to the lowest computed polymorph: 0.0 meV/atom
- Raw formation energy: -278 meV/atom
- Space group: Pmm2, No. 25

***

No. 2
YSc2F | PBE-GGA | optimized geometry

Structure (POSCAR):
```
YSc2F
1.0
0.000 3.642 3.642
3.642 0.000 3.642
3.642 3.642 0.000
Y Sc F
1 2 1
direct
0.000 0.000 0.000
0.250 0.250 0.250
0.750 0.750 0.750
0.500 0.500 0.500
```

Values from the calculation:
- ΔE to the lowest computed polymorph: 1159.9 meV/atom
- Raw formation energy: 55 meV/atom
- Space group: Fm-3m, No. 225